Entry 1:
Here is CoNiOs2 after structural relaxation from Alexandria. Energies are from GGA-PBE.

Structure (POSCAR):
```
CoNiOs2
1.0
2.6062 -0.0111 0.0000
-1.1871 2.3202 0.0000
0.0000 0.0000 8.7377
Os Ni Co
2 1 1
Cartesian
0.0000 0.0000 0.0046
0.0000 0.0000 4.3643
0.7096 1.1545 6.5532
0.7096 1.1545 2.1844
```

## Properties
* symmetry: Cmmm
* mass density: 15.69 g/cm³
* ΔE to the lowest computed polymorph: 0.2946 eV per atom
* energy of formation: 421 meV per atom
* uncorrected energy: -33.66 eV/f.u.

---

Entry 2:
Here is CoNiOs2 after structural relaxation from Alexandria. Energies are from GGA-PBE.

Structure (POSCAR):
```
CoNiOs2
1.0
4.5141 0.0073 0.0000
-1.4846 4.2630 0.0000
0.0000 0.0000 2.6239
Os Ni Co
2 1 1
Cartesian
0.0000 0.0000 0.0000
1.5148 2.1352 0.0000
-0.7423 2.1315 1.3119
2.2571 0.0037 1.3119
```

## Properties
* symmetry: Cmmm
* mass density: 16.37 g/cm³
* ΔE to the lowest computed polymorph: 0.0904 eV per atom
* energy of formation: 217 meV per atom
* uncorrected energy: -34.48 eV/f.u.

---

> Among the records above, which one has the highest mass density?

number 2

---

> Among the records above, which one has the lowest uncorrected energy?

number 2

---

> What is the ΔE to the lowest computed polymorph in the first record?

0.2946 eV per atom